DFT (PBE-GGA) results for crystalline CePaTcPd at its relaxed geometry.

Calculated values
As for the crystal system: cubic. The calculation puts the density at 11.35 g/cm3. The calculation puts the total DFT energy (no corrections) at -32.032 eV for the cell shown. Its density of states at the Fermi level is 1.822 states/eV/atom. The value obtained for the magnetic moment is 0.03 μB per cell.

Structure (extended XYZ):
```
4
Lattice="0.000 3.479 3.479 3.479 0.000 3.479 3.479 3.479 0.000" Properties=species:S:1:pos:R:3 pbc="T T T"
Ce 0.000 0.000 0.000
Pa 3.479 3.479 3.479
Tc 5.219 5.219 5.219
Pd 1.740 1.740 1.740
```

DFT (PBE-GGA) results for crystalline CePaZnPd at its relaxed geometry.

Calculated values
As for the crystal system: cubic. The calculation puts the density at 10.08 g/cm3. The calculation puts the total DFT energy (no corrections) at -22.537 eV for the cell shown. Its density of states at the Fermi level is 2.256 states/eV/atom. The value obtained for the magnetic moment is 1.82 μB per cell.

Structure (extended XYZ):
```
4
Lattice="0.000 3.550 3.550 3.550 0.000 3.550 3.550 3.550 0.000" Properties=species:S:1:pos:R:3 pbc="T T T"
Ce 0.000 0.000 0.000
Pa 3.550 3.550 3.550
Zn 5.324 5.324 5.324
Pd 1.775 1.775 1.775
```

DFT (PBE-GGA) results for crystalline CePmPa at its relaxed geometry.

Calculated values
As for the crystal system: orthorhombic. The calculation puts the density at 9.82 g/cm3. The calculation puts the total DFT energy (no corrections) at -77.615 eV for the cell shown. Its density of states at the Fermi level is 2.590 states/eV/atom. The value obtained for the magnetic moment is 0.00 μB per cell.

Structure (extended XYZ):
```
12
Lattice="6.355 0.000 0.000 0.000 8.593 0.000 0.000 0.000 6.394" Properties=species:S:1:pos:R:3 pbc="T T T"
Ce 1.119 2.148 0.000
Ce 1.119 2.148 3.197
Ce 5.236 6.445 0.000
Ce 5.236 6.445 3.197
Pm 2.413 5.102 1.599
Pm 2.413 7.787 4.796
Pm 3.942 0.806 1.599
Pm 3.942 3.491 4.796
Pa 0.635 5.018 4.796
Pa 0.635 7.872 1.599
Pa 5.720 0.722 4.796
Pa 5.720 3.575 1.599
```

DFT (PBE-GGA) results for crystalline CePmPa at its relaxed geometry.

Calculated values
As for the crystal system: tetragonal. The calculation puts the density at 10.07 g/cm3. The calculation puts the total DFT energy (no corrections) at -19.735 eV for the cell shown. Its density of states at the Fermi level is 2.197 states/eV/atom. The value obtained for the magnetic moment is 0.15 μB per cell.

Structure (extended XYZ):
```
3
Lattice="-1.645 1.645 7.865 1.645 -1.645 7.865 1.645 1.645 -7.865" Properties=species:S:1:pos:R:3 pbc="T T T"
Ce 0.000 0.000 0.000
Pm 0.000 0.000 4.915
Pa 0.000 0.000 10.241
```

DFT (PBE-GGA) results for crystalline CePmPa at its relaxed geometry.

Calculated values
As for the crystal system: hexagonal. The calculation puts the density at 10.20 g/cm3. The calculation puts the total DFT energy (no corrections) at -19.358 eV for the cell shown. Its density of states at the Fermi level is 3.033 states/eV/atom. The value obtained for the magnetic moment is 0.01 μB per cell.

Structure (extended XYZ):
```
3
Lattice="5.420 0.000 0.000 -2.710 4.694 0.000 0.000 0.000 3.302" Properties=species:S:1:pos:R:3 pbc="T T T"
Ce 0.000 0.000 0.000
Pm 0.000 3.129 1.651
Pa 2.710 1.565 0.000
```

DFT (PBE-GGA) results for crystalline CePmPrPa at its relaxed geometry.

Calculated values
As for the crystal system: cubic. The calculation puts the density at 8.85 g/cm3. The calculation puts the total DFT energy (no corrections) at -23.309 eV for the cell shown. Its density of states at the Fermi level is 3.797 states/eV/atom. The value obtained for the magnetic moment is 2.90 μB per cell.

Structure (extended XYZ):
```
4
Lattice="0.000 3.950 3.950 3.950 0.000 3.950 3.950 3.950 0.000" Properties=species:S:1:pos:R:3 pbc="T T T"
Ce 0.000 0.000 0.000
Pm 3.950 3.950 3.950
Pr 1.975 1.975 1.975
Pa 5.926 5.926 5.926
```

DFT (PBE-GGA) results for crystalline Ce2PmPaS4 at its relaxed geometry.

Calculated values
As for the crystal system: monoclinic. The calculation puts the density at 7.27 g/cm3. The formation energy from raw total energies is -1.92 eV per atom. Its density of states at the Fermi level is 1.642 states/eV/atom. The value obtained for the magnetic moment is 1.22 μB per cell.

Structure (extended XYZ):
```
8
Lattice="6.908 0.000 0.000 0.000 3.975 0.000 -2.284 0.000 6.530" Properties=species:S:1:pos:R:3 pbc="T T T"
Ce 0.000 0.000 0.000
Ce -1.142 1.987 3.265
Pm 2.312 0.000 3.265
Pa 3.454 1.987 0.000
S 1.187 1.987 1.612
S 0.043 0.000 4.931
S 4.581 0.000 1.599
S 3.437 1.987 4.918
```

DFT (PBE-GGA) results for crystalline Ce2PmPaSb4 at its relaxed geometry.

Calculated values
As for the crystal system: monoclinic. The calculation puts the density at 7.54 g/cm3. The formation energy from raw total energies is -0.93 eV per atom. Its density of states at the Fermi level is 2.366 states/eV/atom. The value obtained for the magnetic moment is 2.78 μB per cell.

Structure (extended XYZ):
```
8
Lattice="7.735 0.000 0.000 0.000 4.460 0.000 -2.569 0.000 7.300" Properties=species:S:1:pos:R:3 pbc="T T T"
Ce 0.000 0.000 0.000
Ce -1.284 2.230 3.650
Pm 2.583 0.000 3.650
Pa 3.867 2.230 0.000
Sb 1.327 2.230 1.797
Sb 0.041 0.000 5.518
Sb 5.125 0.000 1.782
Sb 3.839 2.230 5.503
```

DFT (PBE-GGA) results for crystalline CePm2PaSb5 at its relaxed geometry.

Calculated values
As for the crystal system: tetragonal. The calculation puts the density at 5.98 g/cm3. The formation energy from raw total energies is -0.19 eV per atom. Its density of states at the Fermi level is 1.081 states/eV/atom. The value obtained for the magnetic moment is 0.45 μB per cell.

Structure (extended XYZ):
```
9
Lattice="5.484 0.000 0.000 0.000 5.484 0.000 0.000 0.000 11.727" Properties=species:S:1:pos:R:3 pbc="T T T"
Ce 0.000 0.000 0.000
Pm 2.742 2.742 3.291
Pm 2.742 2.742 8.435
Pa 0.000 0.000 5.863
Sb 0.000 0.000 2.918
Sb 0.000 0.000 8.809
Sb 0.000 2.742 5.863
Sb 2.742 0.000 5.863
Sb 2.742 2.742 0.000
```

DFT (PBE-GGA) results for crystalline CePmScPa at its relaxed geometry.

Calculated values
As for the crystal system: cubic. The calculation puts the density at 8.31 g/cm3. The calculation puts the total DFT energy (no corrections) at -25.068 eV for the cell shown. Its density of states at the Fermi level is 3.491 states/eV/atom. The value obtained for the magnetic moment is 2.62 μB per cell.

Structure (extended XYZ):
```
4
Lattice="0.000 3.827 3.827 3.827 0.000 3.827 3.827 3.827 0.000" Properties=species:S:1:pos:R:3 pbc="T T T"
Ce 0.000 0.000 0.000
Pm 3.827 3.827 3.827
Sc 1.913 1.913 1.913
Pa 5.740 5.740 5.740
```

DFT (PBE-GGA) results for crystalline CePmPaTl at its relaxed geometry.

Calculated values
As for the crystal system: cubic. The calculation puts the density at 10.67 g/cm3. The calculation puts the total DFT energy (no corrections) at -21.763 eV for the cell shown. Its density of states at the Fermi level is 2.483 states/eV/atom. The value obtained for the magnetic moment is 2.18 μB per cell.

Structure (extended XYZ):
```
4
Lattice="0.000 3.828 3.828 3.828 0.000 3.828 3.828 3.828 0.000" Properties=species:S:1:pos:R:3 pbc="T T T"
Ce 0.000 0.000 0.000
Pm 3.828 3.828 3.828
Pa 1.914 1.914 1.914
Tl 5.742 5.742 5.742
```

DFT (PBE-GGA) results for crystalline CePmPaZn at its relaxed geometry.

Calculated values
As for the crystal system: cubic. The calculation puts the density at 9.50 g/cm3. The calculation puts the total DFT energy (no corrections) at -20.419 eV for the cell shown. Its density of states at the Fermi level is 2.421 states/eV/atom. The value obtained for the magnetic moment is 1.43 μB per cell.

Structure (extended XYZ):
```
4
Lattice="0.000 3.704 3.704 3.704 0.000 3.704 3.704 3.704 0.000" Properties=species:S:1:pos:R:3 pbc="T T T"
Ce 0.000 0.000 0.000
Pm 3.704 3.704 3.704
Pa 5.556 5.556 5.556
Zn 1.852 1.852 1.852
```

DFT (PBE-GGA) results for crystalline CePr2Pa at its relaxed geometry.

Calculated values
As for the crystal system: trigonal. The calculation puts the density at 8.89 g/cm3. The calculation puts the total DFT energy (no corrections) at -23.574 eV for the cell shown. Its density of states at the Fermi level is 1.970 states/eV/atom. The value obtained for the magnetic moment is 0.41 μB per cell.

Structure (extended XYZ):
```
4
Lattice="1.683 0.972 12.420 -1.683 0.972 12.420 0.000 -1.944 12.420" Properties=species:S:1:pos:R:3 pbc="T T T"
Ce 0.000 0.000 0.000
Pr 0.000 0.000 15.377
Pr 0.000 0.000 21.883
Pa 0.000 0.000 18.630
```